DFT (PBE-GGA) results for a relaxed structure of Mg2Be2Ru.

Properties
Offset from the most stable computed form in eV/atom: 0.000
Calculated volume in Å³ per atom: 14.216
SG: P4/mbm, No. 127
Electronic total energy in eV/atom: -3.842

Lattice parameters (Å, degrees): 5.885 5.885 4.105 90.00 90.00 90.00
Sites, in units of the cell vectors:
Mg 0.182 0.318 0.000
Mg 0.318 0.818 0.000
Mg 0.682 0.182 0.000
Mg 0.818 0.682 0.000
Be 0.138 0.638 0.500
Be 0.362 0.138 0.500
Be 0.638 0.862 0.500
Be 0.862 0.362 0.500
Ru 0.000 0.000 0.500
Ru 0.500 0.500 0.500

---

DFT (PBE-GGA) results for a relaxed structure of ScPt3Cl.

Properties
Offset from the most stable computed form in eV/atom: 0.405
Calculated volume in Å³ per atom: 23.490
SG: Pm-3m, No. 221
Uncorrected formation energy in eV/atom: 0.804
Electronic total energy in eV/atom: -4.456

Lattice parameters (Å, degrees): 4.897 4.897 4.897 90.00 90.00 90.00
Sites, in units of the cell vectors:
Sc 0.000 0.000 0.000
Pt 0.000 0.000 0.500
Pt 0.000 0.500 0.000
Pt 0.500 0.000 0.000
Cl 0.500 0.500 0.500